No. 1
This record from Alexandria describes a geometry-optimized PmNd2Tm3Te6 structure. The functional is PBE.

## Properties
Space group: C2/m (12)
Fermi-level density of states (states/eV/f.u.): 5.5
Crystal system: monoclinic

Cell: 4.3209 8.9533 9.9238 Å, 105.54 102.57 90.00°
With the nearest neighbours (Å) after each atom.
Sites, in units of the cell vectors:
Pm  0.5000  0.0000  0.0000  6 Te 3.17-3.18
Nd  0.8331  0.6666  0.6662  6 Te 3.18-3.19
Nd  0.1669  0.3334  0.3338  6 Te 3.18-3.19
Tm  0.5000  0.5000  0.0000  6 Te 3.03-3.05
Tm  0.8326  0.1667  0.6651  6 Te 3.04
Tm  0.1674  0.8333  0.3349  6 Te 3.04
Te  0.3304  0.9270  0.6608  3 Tm 3.04, 1 Pm 3.17, 2 Nd 3.19
Te  0.6627  0.5926  0.3254  3 Tm 3.03-3.04, 3 Nd 3.18-3.19
Te  0.6696  0.0730  0.3392  3 Tm 3.04, 1 Pm 3.17, 2 Nd 3.19
Te  0.9959  0.2578  0.9918  3 Tm 3.04-3.05, 2 Pm 3.18, 1 Nd 3.19
Te  0.0041  0.7422  0.0082  3 Tm 3.04-3.05, 2 Pm 3.18, 1 Nd 3.19
Te  0.3373  0.4074  0.6746  3 Tm 3.03-3.04, 3 Nd 3.18-3.19



No. 2
This record from Alexandria describes a geometry-optimized Pm2NdTm3Te6 structure. The functional is PBE.

## Properties
Space group: C2/m (12)
Fermi-level density of states (states/eV/f.u.): 5.6
Crystal system: monoclinic

Cell: 4.3204 8.9302 9.9062 Å, 105.42 102.60 90.00°
With the nearest neighbours (Å) after each atom.
Sites, in units of the cell vectors:
Pm  0.8339  0.6679  0.6678  6 Te 3.16-3.18
Pm  0.1661  0.3321  0.3322  6 Te 3.16-3.18
Nd  0.5000  0.0000  0.0000  6 Te 3.18-3.19
Tm  0.5000  0.5000  0.0000  6 Te 3.03-3.04
Tm  0.8341  0.1670  0.6682  6 Te 3.03-3.05
Tm  0.1659  0.8330  0.3318  6 Te 3.03-3.05
Te  0.3291  0.9247  0.6583  3 Tm 3.04, 2 Pm 3.17, 1 Nd 3.19
Te  0.6636  0.5913  0.3273  3 Tm 3.04-3.05, 3 Pm 3.17-3.18
Te  0.6709  0.0753  0.3417  3 Tm 3.04, 2 Pm 3.17, 1 Nd 3.19
Te  0.9968  0.2600  0.9937  3 Tm 3.03, 1 Pm 3.16, 2 Nd 3.18
Te  0.0032  0.7400  0.0063  3 Tm 3.03, 1 Pm 3.16, 2 Nd 3.18
Te  0.3364  0.4087  0.6727  3 Tm 3.04-3.05, 3 Pm 3.17-3.18



No. 3
This record from Alexandria describes a geometry-optimized Pm3NdTm2Te6 structure. The functional is PBE.

## Properties
Space group: C2/m (12)
Fermi-level density of states (states/eV/f.u.): 6.8
Crystal system: monoclinic

Cell: 4.3710 8.9250 9.8906 Å, 103.08 102.77 90.00°
With the nearest neighbours (Å) after each atom.
Sites, in units of the cell vectors:
Pm  0.5000  0.5000  0.0000  6 Te 3.11-3.21
Pm  0.8408  0.1673  0.6817  6 Te 3.10-3.21
Pm  0.1592  0.8327  0.3183  6 Te 3.10-3.21
Nd  0.5000  0.0000  0.0000  6 Te 3.14-3.21
Tm  0.8355  0.6699  0.6710  6 Te 2.97-3.09
Tm  0.1645  0.3301  0.3290  6 Te 2.97-3.09
Te  0.3290  0.9045  0.6581  2 Tm 3.05, 3 Pm 3.18-3.19, 1 Nd 3.21
Te  0.6710  0.5764  0.3420  3 Tm 3.08-3.09, 3 Pm 3.21
Te  0.6710  0.0955  0.3419  2 Tm 3.05, 3 Pm 3.18-3.19, 1 Nd 3.21
Te  0.0061  0.2549  0.0122  1 Tm 2.97, 3 Pm 3.10-3.11, 2 Nd 3.14
Te  0.9939  0.7451  0.9878  1 Tm 2.97, 3 Pm 3.10-3.11, 2 Nd 3.14
Te  0.3290  0.4236  0.6580  3 Tm 3.08-3.09, 3 Pm 3.21



No. 4
This record from Alexandria describes a geometry-optimized Pm3Nd3TmTe8 structure. The functional is PBE.

## Properties
Space group: R-3m (166)
Fermi-level density of states (states/eV/f.u.): 7.1
Crystal system: trigonal

Cell: 8.9259 8.9267 8.9169 Å, 120.04 90.00 120.00°
With the nearest neighbours (Å) after each atom.
Sites, in units of the cell vectors:
Pm  0.0000  0.0000  0.0000  6 Te 3.14
Pm  0.0000  0.5000  0.0000  6 Te 3.14
Pm  0.5000  0.5000  0.0000  6 Te 3.14
Nd  0.5000  0.0000  0.5000  6 Te 3.16
Nd  0.5000  0.5000  0.5000  6 Te 3.16
Nd  0.0000  0.5000  0.5000  6 Te 3.16
Tm  0.0000  0.0000  0.5000  6 Te 3.12
Te  0.2492  0.4984  0.2476  3 Pm 3.14, 3 Nd 3.16
Te  0.7508  0.5016  0.7524  3 Pm 3.14, 3 Nd 3.16
Te  0.7526  0.5052  0.2510  1 Tm 3.12, 2 Pm 3.14, 2 Nd 3.16
Te  0.2474  0.4948  0.7490  1 Tm 3.12, 2 Pm 3.14, 2 Nd 3.16
Te  0.7526  0.9984  0.2510  1 Tm 3.12, 2 Pm 3.14, 2 Nd 3.16
Te  0.2474  0.0016  0.7490  1 Tm 3.12, 2 Pm 3.14, 2 Nd 3.16
Te  0.2458  0.9984  0.2510  1 Tm 3.12, 2 Pm 3.14, 2 Nd 3.16
Te  0.7542  0.0016  0.7490  1 Tm 3.12, 2 Pm 3.14, 2 Nd 3.16



No. 5
This record from Alexandria describes a geometry-optimized PmNdY2Te6 structure. The functional is PBE.

## Properties
Space group: R3 (146)
Crystal system: trigonal

Cell: 7.8247 7.8247 8.4036 Å, 62.26 62.25 60.00°
With the nearest neighbours (Å) after each atom.
Sites, in units of the cell vectors:
Pm  0.8199  0.8199  0.5403  6 Te 3.14-3.19
Nd  0.3193  0.3193  0.0420  6 Te 3.15-3.21
Y  0.5085  0.5085  0.4745  6 Te 3.07-3.11
Y  0.0089  0.0089  0.9733  6 Te 3.07-3.11
Te  0.6157  0.2348  0.2480  2 Y 3.07-3.11, 1 Nd 3.15, 1 Pm 3.19
Te  0.2348  0.9015  0.2480  2 Y 3.07-3.11, 1 Nd 3.15, 1 Pm 3.19
Te  0.9015  0.6157  0.2479  2 Y 3.07-3.11, 1 Nd 3.15, 1 Pm 3.19
Te  0.4041  0.7357  0.7471  2 Y 3.07-3.11, 1 Pm 3.14, 1 Nd 3.21
Te  0.7358  0.1131  0.7470  2 Y 3.07-3.11, 1 Pm 3.14, 1 Nd 3.21
Te  0.1131  0.4041  0.7470  2 Y 3.07-3.11, 1 Pm 3.14, 1 Nd 3.21



No. 6
This record from Alexandria describes a geometry-optimized PmNd3Y2Te6 structure. The functional is PBE.

## Properties
Space group: C2/m (12)
Fermi-level density of states (states/eV/f.u.): 6.6
Crystal system: monoclinic

Cell: 4.4203 8.9626 9.9557 Å, 103.24 102.83 90.00°
With the nearest neighbours (Å) after each atom.
Sites, in units of the cell vectors:
Pm  0.5000  0.0000  0.0000  6 Te 3.14-3.17
Nd  0.5000  0.5000  0.0000  6 Te 3.16-3.21
Nd  0.8369  0.1672  0.6738  6 Te 3.15-3.21
Nd  0.1631  0.8328  0.3262  6 Te 3.15-3.21
Y  0.8347  0.6690  0.6693  6 Te 3.05-3.11
Y  0.1653  0.3310  0.3307  6 Te 3.05-3.11
Te  0.3321  0.9086  0.6642  2 Y 3.09, 1 Pm 3.17, 3 Nd 3.19
Te  0.6699  0.5772  0.3397  3 Y 3.11, 3 Nd 3.21
Te  0.6679  0.0914  0.3358  2 Y 3.09, 1 Pm 3.17, 3 Nd 3.19
Te  0.0037  0.2503  0.0075  1 Y 3.05, 2 Pm 3.14, 3 Nd 3.15-3.16
Te  0.9963  0.7497  0.9925  1 Y 3.05, 2 Pm 3.14, 3 Nd 3.15-3.16
Te  0.3301  0.4228  0.6603  3 Y 3.11, 3 Nd 3.21



No. 7
This record from Alexandria describes a geometry-optimized PmNd3Y3Te8 structure. The functional is PBE.

## Properties
Space group: R-3m (166)
Fermi-level density of states (states/eV/f.u.): 7.1
Crystal system: trigonal

Cell: 8.8221 8.8222 8.8441 Å, 119.92 90.00 120.00°
With the nearest neighbours (Å) after each atom.
Sites, in units of the cell vectors:
Pm  0.0000  0.0000  0.5000  6 Te 3.21
Nd  0.0000  0.0000  0.0000  6 Te 3.17
Nd  0.0000  0.5000  0.0000  6 Te 3.17
Nd  0.5000  0.5000  0.0000  6 Te 3.17
Y  0.5000  0.0000  0.5000  6 Te 3.08
Y  0.5000  0.5000  0.5000  6 Te 3.08
Y  0.0000  0.5000  0.5000  6 Te 3.08
Te  0.2535  0.5070  0.2606  3 Y 3.08, 3 Nd 3.17
Te  0.7465  0.4930  0.7394  3 Y 3.08, 3 Nd 3.17
Te  0.7429  0.4858  0.2500  2 Y 3.08, 2 Nd 3.17, 1 Pm 3.21
Te  0.2571  0.5142  0.7500  2 Y 3.08, 2 Nd 3.17, 1 Pm 3.21
Te  0.7430  0.0071  0.2500  2 Y 3.08, 2 Nd 3.17, 1 Pm 3.21
Te  0.2570  0.9929  0.7500  2 Y 3.08, 2 Nd 3.17, 1 Pm 3.21
Te  0.2641  0.0071  0.2500  2 Y 3.08, 2 Nd 3.17, 1 Pm 3.21
Te  0.7359  0.9929  0.7500  2 Y 3.08, 2 Nd 3.17, 1 Pm 3.21



No. 8
This record from Alexandria describes a geometry-optimized PmNd4Y3Te8 structure. The functional is PBE.

## Properties
Space group: R-3m (166)
Fermi-level density of states (states/eV/f.u.): 12.2
Crystal system: trigonal

Cell: 8.8440 8.9422 8.8442 Å, 119.64 120.00 90.00°
With the nearest neighbours (Å) after each atom.
Sites, in units of the cell vectors:
Pm  0.0000  0.5000  0.0000  6 Te 3.13
Nd  0.5000  0.0000  0.0000  6 Te 3.16
Nd  0.5000  0.0000  0.5000  6 Te 3.19
Nd  0.0000  0.0000  0.0000  6 Te 3.19-3.20
Nd  0.0000  0.0000  0.5000  6 Te 3.19
Y  0.5000  0.5000  0.0000  6 Te 3.09-3.10
Y  0.5000  0.5000  0.5000  6 Te 3.09-3.10
Y  0.0000  0.5000  0.5000  6 Te 3.09-3.10
Te  0.2491  0.7413  0.9921  2 Y 3.09, 1 Pm 3.13, 3 Nd 3.16-3.19
Te  0.2491  0.7413  0.4983  2 Y 3.09, 1 Pm 3.13, 3 Nd 3.16-3.19
Te  0.2539  0.2617  0.5078  3 Y 3.10, 3 Nd 3.19-3.20
Te  0.7430  0.7413  0.9921  2 Y 3.09, 1 Pm 3.13, 3 Nd 3.16-3.19
Te  0.2570  0.2587  0.0079  2 Y 3.09, 1 Pm 3.13, 3 Nd 3.16-3.19
Te  0.7461  0.7383  0.4922  3 Y 3.10, 3 Nd 3.19-3.20
Te  0.7509  0.2587  0.5017  2 Y 3.09, 1 Pm 3.13, 3 Nd 3.16-3.19
Te  0.7509  0.2587  0.0079  2 Y 3.09, 1 Pm 3.13, 3 Nd 3.16-3.19



No. 9
This record from Alexandria describes a geometry-optimized Pm2NdY3Te6 structure. The functional is PBE.

## Properties
Space group: C2/m (12)
Fermi-level density of states (states/eV/f.u.): 6.3
Crystal system: monoclinic

Cell: 4.3891 8.9126 9.9066 Å, 103.64 102.80 90.00°
With the nearest neighbours (Å) after each atom.
Sites, in units of the cell vectors:
Pm  0.8337  0.6676  0.6675  6 Te 3.15-3.17
Pm  0.1663  0.3324  0.3325  6 Te 3.15-3.17
Nd  0.5000  0.0000  0.0000  6 Te 3.18
Y  0.5000  0.5000  0.0000  6 Te 3.08-3.09
Y  0.8342  0.1671  0.6684  6 Te 3.08-3.09
Y  0.1658  0.8329  0.3316  6 Te 3.08-3.09
Te  0.3304  0.9214  0.6607  3 Y 3.09, 2 Pm 3.16, 1 Nd 3.18
Te  0.6649  0.5880  0.3298  3 Y 3.09, 3 Pm 3.17
Te  0.6696  0.0786  0.3392  3 Y 3.09, 2 Pm 3.16, 1 Nd 3.18
Te  0.9982  0.2568  0.9965  3 Y 3.08, 1 Pm 3.15, 2 Nd 3.18
Te  0.0018  0.7432  0.0035  3 Y 3.08, 1 Pm 3.15, 2 Nd 3.18
Te  0.3351  0.4120  0.6702  3 Y 3.09, 3 Pm 3.17



No. 10
This record from Alexandria describes a geometry-optimized Pm3Nd2YTe6 structure. The functional is PBE.

## Properties
Space group: C2/m (12)
Fermi-level density of states (states/eV/f.u.): 6.6
Crystal system: monoclinic

Cell: 4.4391 8.9681 9.9661 Å, 102.69 102.87 90.00°
With the nearest neighbours (Å) after each atom.
Sites, in units of the cell vectors:
Pm  0.5000  0.5000  0.0000  6 Te 3.12-3.19
Pm  0.8290  0.1662  0.6579  6 Te 3.13-3.21
Pm  0.1710  0.8338  0.3421  6 Te 3.13-3.21
Nd  0.8311  0.6640  0.6622  6 Te 3.15-3.23
Nd  0.1689  0.3360  0.3378  6 Te 3.15-3.23
Y  0.5000  0.0000  0.0000  6 Te 3.08-3.12
Te  0.3376  0.9207  0.6751  1 Y 3.08, 3 Pm 3.15-3.16, 2 Nd 3.18
Te  0.6649  0.5844  0.3299  3 Pm 3.12-3.13, 3 Nd 3.15-3.16
Te  0.6624  0.0793  0.3249  1 Y 3.08, 3 Pm 3.15-3.16, 2 Nd 3.18
Te  0.9985  0.2431  0.9969  2 Y 3.12, 3 Pm 3.19-3.21, 1 Nd 3.23
Te  0.0015  0.7569  0.0031  2 Y 3.12, 3 Pm 3.19-3.21, 1 Nd 3.23
Te  0.3351  0.4156  0.6701  3 Pm 3.12-3.13, 3 Nd 3.15-3.16



For each record above, in turn, the calculated energy relative to the elements, uncorrected values are -1.303; -1.300; -1.335; -1.433; -1.383; -1.385; -1.429; -1.376; -1.365; -1.397 eV/atom.